[1]
# CaHgIr2

An optimized crystal structure of CaHgIr2 (PBE, Alexandria).

Lattice parameters (Å, degrees): 3.4059 3.4059 6.5325 90.00 90.00 90.00
With the nearest neighbours (Å) after each atom.
Fractional positions:
Ca: 0.0000 0.0000 0.0000  8 Ir 3.00, 2 Hg 3.27
Hg: 0.0000 0.0000 0.5000  8 Ir 2.82
Ir: 0.5000 0.5000 0.2751  4 Hg 2.82, 1 Ir 2.94, 4 Ca 3.00
Ir: 0.5000 0.5000 0.7249  4 Hg 2.82, 1 Ir 2.94, 4 Ca 3.00

Computed properties:
ΔH_f (0 K) = 0.3379 eV/atom
symmetry = No. 123

[2]
# BaSc2Co

An optimized crystal structure of BaSc2Co (PBE, Alexandria).

Lattice parameters (Å, degrees): 3.8759 3.8759 8.9416 102.35 102.35 59.94
With the nearest neighbours (Å) after each atom.
Fractional positions:
Ba: 0.0000 0.0000 0.0000  6 Sc 3.85-3.86, 6 Ba 3.87-3.88
Sc: 0.2117 0.2117 0.6369  3 Co 2.53
Sc: 0.7883 0.7883 0.3631  3 Co 2.53
Co: 0.5000 0.5000 0.5000  6 Sc 2.53

Computed properties:
ΔH_f (0 K) = 0.0373 eV/atom
symmetry = No. 12
polymorph energy (0 for the lowest one) = 3 meV/atom

[3]
# LiPr2DyS4

An optimized crystal structure of LiPr2DyS4 (PBE, Alexandria).

Lattice parameters (Å, degrees): 6.8828 3.9970 6.9279 90.00 109.42 90.00
With the nearest neighbours (Å) after each atom.
Fractional positions:
Li: 0.0000 0.0000 0.0000  6 S 2.73-2.76
Pr: 0.0000 0.5000 0.5000  6 S 2.88-2.89
Pr: 0.5000 0.0000 0.5000  6 S 2.89-2.91
Dy: 0.5000 0.5000 0.0000  6 S 2.76
S: 0.2434 0.5000 0.2321  1 Dy 2.76, 2 Li 2.76, 3 Pr 2.88-2.89
S: 0.2530 0.0000 0.7692  1 Li 2.73, 2 Dy 2.76, 3 Pr 2.89-2.91
S: 0.7470 0.0000 0.2308  1 Li 2.73, 2 Dy 2.76, 3 Pr 2.89-2.91
S: 0.7566 0.5000 0.7679  1 Dy 2.76, 2 Li 2.76, 3 Pr 2.88-2.89

Computed properties:
symmetry = No. 10
E_form (uncorrected) = -1.911 eV/atom

[4]
# CaCd3Ag8

An optimized crystal structure of CaCd3Ag8 (PBE, Alexandria).

Lattice parameters (Å, degrees): 5.6611 5.6611 8.8925 90.00 90.00 120.00
With the nearest neighbours (Å) after each atom.
Fractional positions:
Ca: 0.0000 0.0000 0.0000  12 Ag 3.25-3.32, 4 Cd 3.46-3.50
Cd: 0.0000 0.0000 0.3892  12 Ag 3.06-3.35, 3 Cd 3.40
Cd: 0.6667 0.3333 0.4958  12 Ag 3.17-3.31, 4 Cd 3.23-3.40
Cd: 0.6667 0.3333 0.8594  1 Cd 3.23, 12 Ag 3.24-3.34, 3 Ca 3.50
Ag: 0.1630 0.3261 0.6823  6 Ag 2.77-2.89, 1 Cd 3.06
Ag: 0.1630 0.8370 0.6823  6 Ag 2.77-2.89, 1 Cd 3.06
Ag: 0.3333 0.6667 0.4337  6 Ag 2.76-2.77
Ag: 0.3333 0.6667 0.9347  6 Ag 2.80-2.81
Ag: 0.5044 0.0088 0.1876  6 Ag 2.76-2.91
Ag: 0.5044 0.4956 0.1876  6 Ag 2.76-2.91
Ag: 0.6739 0.8370 0.6823  6 Ag 2.77-2.89, 1 Cd 3.06
Ag: 0.9912 0.4956 0.1876  6 Ag 2.76-2.91

Computed properties:
ΔH_f (0 K) = -0.0683 eV/atom
symmetry = No. 156

[5]
# ScU6Se12

An optimized crystal structure of ScU6Se12 (PBE, Alexandria).

Lattice parameters (Å, degrees): 8.1916 8.1916 8.1916 99.76 99.76 99.76
With the nearest neighbours (Å) after each atom.
Fractional positions:
Sc: 0.0000 0.0000 0.0000  6 Se 2.67
U: 0.1315 0.3028 0.6315  7 Se 2.86-3.10
U: 0.3028 0.6315 0.1315  7 Se 2.86-3.10
U: 0.3685 0.8685 0.6972  7 Se 2.86-3.10
U: 0.6315 0.1315 0.3028  7 Se 2.86-3.10
U: 0.6972 0.3685 0.8685  7 Se 2.86-3.10
U: 0.8685 0.6972 0.3685  7 Se 2.86-3.10
Se: 0.0343 0.9334 0.6791  1 Sc 2.67, 2 U 2.86-2.89
Se: 0.0666 0.3209 0.9657  1 Sc 2.67, 2 U 2.86-2.89
Se: 0.1775 0.5724 0.4267  4 U 2.86-3.00
Se: 0.3209 0.9657 0.0666  1 Sc 2.67, 2 U 2.86-2.89
Se: 0.4267 0.1775 0.5724  4 U 2.86-3.00
Se: 0.4276 0.5733 0.8225  4 U 2.86-3.00
Se: 0.5724 0.4267 0.1775  4 U 2.86-3.00
Se: 0.5733 0.8225 0.4276  4 U 2.86-3.00
Se: 0.6791 0.0343 0.9334  1 Sc 2.67, 2 U 2.86-2.89
Se: 0.8225 0.4276 0.5733  4 U 2.86-3.00
Se: 0.9334 0.6791 0.0343  1 Sc 2.67, 2 U 2.86-2.89
Se: 0.9657 0.0666 0.3209  1 Sc 2.67, 2 U 2.86-2.89

Computed properties:
symmetry = No. 148
E_form (uncorrected) = -1.177 eV/atom

[6]
# TaRhCl2

An optimized crystal structure of TaRhCl2 (PBE, Alexandria).

Lattice parameters (Å, degrees): 7.5921 7.5921 7.5921 156.81 146.26 41.34
With the nearest neighbours (Å) after each atom.
Fractional positions:
Ta: 0.0000 0.0000 0.0000  4 Cl 2.52, 4 Rh 2.68
Rh: 0.5000 0.5000 0.0000  4 Ta 2.68, 4 Cl 2.98
Cl: 0.1414 0.6414 0.5000  2 Ta 2.52
Cl: 0.8586 0.3586 0.5000  2 Ta 2.52

Computed properties:
symmetry = No. 71
E_form (uncorrected) = -0.343 eV/atom
polymorph energy (0 for the lowest one) = 315 meV/atom

Repeat the fifth record exactly.
# ScU6Se12

An optimized crystal structure of ScU6Se12 (PBE, Alexandria).

Lattice parameters (Å, degrees): 8.1916 8.1916 8.1916 99.76 99.76 99.76
With the nearest neighbours (Å) after each atom.
Fractional positions:
Sc: 0.0000 0.0000 0.0000  6 Se 2.67
U: 0.1315 0.3028 0.6315  7 Se 2.86-3.10
U: 0.3028 0.6315 0.1315  7 Se 2.86-3.10
U: 0.3685 0.8685 0.6972  7 Se 2.86-3.10
U: 0.6315 0.1315 0.3028  7 Se 2.86-3.10
U: 0.6972 0.3685 0.8685  7 Se 2.86-3.10
U: 0.8685 0.6972 0.3685  7 Se 2.86-3.10
Se: 0.0343 0.9334 0.6791  1 Sc 2.67, 2 U 2.86-2.89
Se: 0.0666 0.3209 0.9657  1 Sc 2.67, 2 U 2.86-2.89
Se: 0.1775 0.5724 0.4267  4 U 2.86-3.00
Se: 0.3209 0.9657 0.0666  1 Sc 2.67, 2 U 2.86-2.89
Se: 0.4267 0.1775 0.5724  4 U 2.86-3.00
Se: 0.4276 0.5733 0.8225  4 U 2.86-3.00
Se: 0.5724 0.4267 0.1775  4 U 2.86-3.00
Se: 0.5733 0.8225 0.4276  4 U 2.86-3.00
Se: 0.6791 0.0343 0.9334  1 Sc 2.67, 2 U 2.86-2.89
Se: 0.8225 0.4276 0.5733  4 U 2.86-3.00
Se: 0.9334 0.6791 0.0343  1 Sc 2.67, 2 U 2.86-2.89
Se: 0.9657 0.0666 0.3209  1 Sc 2.67, 2 U 2.86-2.89

Computed properties:
symmetry = No. 148
E_form (uncorrected) = -1.177 eV/atom